An optimized crystal structure of Mg2CdPd2. Source: the Alexandria database, functional GGA-PBE.

The symmetry is No. 14. The raw total energy comes out at -3.357 eV per atom. The formation enthalpy at 0 K comes out at -0.46 eV/atom. The magnetization comes out at 0.000 μB per atom. The calculation puts the density of states at the Fermi level at 1.50 states/eV/f.u.

Cell lengths 5.897, 5.728, 10.743 Å; angles 90.00, 99.15, 90.00 degrees
Sites, in units of the cell vectors:
Mg 0.683 0.378 0.077
Mg 0.183 0.122 0.077
Mg 0.817 0.878 0.923
Mg 0.317 0.622 0.923
Mg 0.937 0.748 0.326
Mg 0.437 0.752 0.326
Mg 0.563 0.248 0.674
Mg 0.063 0.252 0.674
Cd 0.458 0.256 0.311
Cd 0.542 0.744 0.689
Cd 0.958 0.244 0.311
Cd 0.042 0.756 0.689
Pd 0.616 0.907 0.128
Pd 0.116 0.593 0.128
Pd 0.884 0.407 0.872
Pd 0.384 0.093 0.872
Pd 0.750 0.502 0.501
Pd 0.250 0.998 0.501
Pd 0.750 0.002 0.499
Pd 0.250 0.498 0.499